Record 1
The following is a DFT calculation (PBE-GGA) of a geometry-optimized OsC structure. Values from VASP.

Cell and atoms, written as Quantum ESPRESSO input:
```
&SYSTEM
  ibrav = 0, nat = 12, ntyp = 2
/
ATOMIC_SPECIES
C 12.01 C.upf
Os 190.23 Os.upf
CELL_PARAMETERS angstrom
3.348 0.000 0.000
0.000 4.860 0.000
0.000 0.000 9.776
ATOMIC_POSITIONS angstrom
C 0.000 3.221 0.000
C 1.674 1.640 4.888
C 1.674 0.918 8.285
C 1.674 0.918 1.491
C 0.000 3.942 3.397
C 0.000 3.942 6.379
Os 1.674 0.237 6.332
Os 0.000 4.623 8.332
Os 1.674 2.179 0.000
Os 1.674 0.237 3.444
Os 0.000 4.623 1.444
Os 0.000 2.681 4.888
```

Output
**Raw total energy**: -9.46 eV per atom
**Energy relative to the lowest polymorph listed for this composition**: 0.044 eV/atom
**V**: 159.11 Å³/cell
**Energy relative to the elements**: 0.7646 eV/atom
**DOS at the Fermi energy**: 7.5 states/eV per cell

***

Record 2
The following is a DFT calculation (PBE-GGA) of a geometry-optimized OsC3 structure. Values from VASP.

Cell and atoms, written as Quantum ESPRESSO input:
```
&SYSTEM
  ibrav = 0, nat = 4, ntyp = 2
/
ATOMIC_SPECIES
C 12.01 C.upf
Os 190.23 Os.upf
CELL_PARAMETERS angstrom
2.576 0.000 0.000
0.000 8.171 0.000
0.000 0.000 3.170
ATOMIC_POSITIONS angstrom
C 1.288 0.000 0.079
C 1.288 4.086 1.770
C 0.000 0.000 0.079
Os 0.000 4.086 0.185
```

Output
**Raw total energy**: -8.41 eV per atom
**Energy relative to the lowest polymorph listed for this composition**: 0.377 eV/atom
**V**: 66.73 Å³/cell
**Energy relative to the elements**: 1.3122 eV/atom
**DOS at the Fermi energy**: 2.6 states/eV per cell

***

Record 3
The following is a DFT calculation (PBE-GGA) of a geometry-optimized OsC structure. Values from VASP.

Cell and atoms, written as Quantum ESPRESSO input:
```
&SYSTEM
  ibrav = 0, nat = 4, ntyp = 2
/
ATOMIC_SPECIES
C 12.01 C.upf
Os 190.23 Os.upf
CELL_PARAMETERS angstrom
-3.763 0.632 1.303
-0.998 -0.913 3.798
-0.747 2.944 2.651
ATOMIC_POSITIONS angstrom
C 0.000 0.000 0.000
C -1.377 0.666 1.938
Os -4.131 1.998 5.815
Os -2.754 1.332 3.877
```

Output
**Raw total energy**: -7.69 eV per atom
**Energy relative to the lowest polymorph listed for this composition**: 1.817 eV/atom
**V**: 46.35 Å³/cell
**Energy relative to the elements**: 2.5372 eV/atom
**DOS at the Fermi energy**: 3.1 states/eV per cell

***

Record 4
The following is a DFT calculation (PBE-GGA) of a geometry-optimized Os4C structure. Values from VASP.

Cell and atoms, written as Quantum ESPRESSO input:
```
&SYSTEM
  ibrav = 0, nat = 5, ntyp = 2
/
ATOMIC_SPECIES
Os 190.23 Os.upf
C 12.01 C.upf
CELL_PARAMETERS angstrom
2.070 -0.909 6.454
0.378 3.678 5.752
-3.495 -2.127 -5.479
ATOMIC_POSITIONS angstrom
Os -0.947 1.468 3.188
Os -0.101 -0.826 3.539
Os 1.464 1.657 7.304
Os 0.983 1.112 4.903
C 0.000 0.000 0.000
```

Output
**Raw total energy**: -8.97 eV per atom
**Energy relative to the lowest polymorph listed for this composition**: 1.406 eV/atom
**V**: 77.79 Å³/cell
**Energy relative to the elements**: 1.8583 eV/atom
**DOS at the Fermi energy**: 6.0 states/eV per cell

***

Record 5
The following is a DFT calculation (PBE-GGA) of a geometry-optimized Os3C structure. Values from VASP.

Cell and atoms, written as Quantum ESPRESSO input:
```
&SYSTEM
  ibrav = 0, nat = 4, ntyp = 2
/
ATOMIC_SPECIES
Os 190.23 Os.upf
C 12.01 C.upf
CELL_PARAMETERS angstrom
3.590 0.000 0.000
0.000 2.840 -0.001
0.000 1.357 4.986
ATOMIC_POSITIONS angstrom
Os 1.795 0.634 1.101
Os 0.000 2.098 2.492
Os 1.795 3.562 3.884
C 0.000 0.000 0.000
```

Output
**Raw total energy**: -9.82 eV per atom
**Energy relative to the lowest polymorph listed for this composition**: 0.571 eV/atom
**V**: 50.82 Å³/cell
**Energy relative to the elements**: 0.9091 eV/atom
**DOS at the Fermi energy**: 3.0 states/eV per cell

***

Record 6
The following is a DFT calculation (PBE-GGA) of a geometry-optimized OsC5 structure. Values from VASP.

Cell and atoms, written as Quantum ESPRESSO input:
```
&SYSTEM
  ibrav = 0, nat = 6, ntyp = 2
/
ATOMIC_SPECIES
C 12.01 C.upf
Os 190.23 Os.upf
CELL_PARAMETERS angstrom
-3.222 1.860 0.673
-0.051 -3.206 -2.005
-0.575 -2.373 3.809
ATOMIC_POSITIONS angstrom
C -0.040 -2.496 -1.561
C -2.453 -1.015 1.685
C -2.510 1.449 0.524
C -0.724 -0.298 -0.295
C -1.395 -2.703 0.792
Os -0.287 -1.186 1.904
```

Output
**Raw total energy**: -6.76 eV per atom
**Energy relative to the lowest polymorph listed for this composition**: 1.780 eV/atom
**V**: 56.02 Å³/cell
**Energy relative to the elements**: 2.8031 eV/atom
**DOS at the Fermi energy**: 2.8 states/eV per cell